# BaLi2Fe | Alexandria via LeMat-Bulk | PBE | relaxed
# Excess energy over the best structure of this formula in the dataset   0.34 eV per formula unit
# Energy relative to the elements   0.5339 eV per atom
# Spin magnetization   0.705 μB/atom
data_BaLi2Fe
_cell_length_a 3.507
_cell_length_b 3.507
_cell_length_c 7.752
_cell_angle_alpha 90.00
_cell_angle_beta 90.00
_cell_angle_gamma 90.00
_symmetry_space_group_name_H-M 'P 4/m m m'
_symmetry_Int_Tables_number 123
_symmetry_space_group_name_Hall '-P 4 2'
loop_
_atom_site_label
_atom_site_type_symbol
_atom_site_fract_x
_atom_site_fract_y
_atom_site_fract_z
_atom_site_occupancy
Ba1 Ba 0.000 0.000 0.000 1
Li1 Li 0.500 0.500 0.336 1
Fe1 Fe 0.000 0.000 0.500 1